# 1
A relaxed YTc4 crystal, computed with PBE.

Lattice parameters (Å, degrees): 4.720 4.720 4.720 90.00 90.00 90.00
Last column: magnetic moment on the atom in μB.
Positions (direct):
Y (0.500, 0.500, 0.500)  0.06
Tc (0.000, 0.000, 0.000)  2.81
Tc (0.500, 0.000, 0.500)  -0.35
Tc (0.000, 0.500, 0.500)  -0.35
Tc (0.500, 0.500, 0.000)  -0.35

Properties
Density, g/cm3: 7.594
DFT formation energy, eV/atom: 2.6215
V, Å³ per atom: 21.0
Spin magnetization, μB per formula unit: 2.00

---

# 2
A relaxed Li5Ca4Cu2 crystal, computed with PBE.

Lattice parameters (Å, degrees): 3.889 7.718 9.808 93.72 90.00 90.00
Positions (direct):
Li (0.000, 0.560, 0.315)
Li (0.000, 0.185, 0.154)
Li (0.000, 0.500, 0.000)
Li (0.000, 0.815, 0.846)
Li (0.000, 0.440, 0.685)
Ca (0.500, 0.769, 0.558)
Ca (0.500, 0.165, 0.849)
Ca (0.500, 0.231, 0.442)
Ca (0.500, 0.835, 0.151)
Cu (0.000, 0.059, 0.625)
Cu (0.000, 0.941, 0.375)

Properties
Density, g/cm3: 1.821
DFT formation energy, eV/atom: -0.0024
V, Å³ per atom: 26.7
Spin magnetization, μB per formula unit: 0.00

---

# 3
A relaxed Tb2Tm3Pd3 crystal, computed with PBE.

Lattice parameters (Å, degrees): 3.535 5.107 10.844 103.62 99.38 90.00
Positions (direct):
Tb (0.727, 0.227, 0.454)
Tb (0.273, 0.773, 0.546)
Tm (0.615, 0.615, 0.229)
Tm (0.385, 0.385, 0.771)
Tm (0.500, 0.000, 0.000)
Pd (0.113, 0.113, 0.226)
Pd (0.000, 0.500, 0.000)
Pd (0.887, 0.887, 0.774)

Properties
Density, g/cm3: 10.127
DFT formation energy, eV/atom: -0.6539
V, Å³ per atom: 23.4
Spin magnetization, μB per formula unit: 0.00

---

# 4
A relaxed MgHPd3 crystal, computed with PBE.

Lattice parameters (Å, degrees): 4.442 4.442 7.860 90.00 90.00 120.00
Positions (direct):
H (0.000, 0.000, 0.000)
H (0.000, 0.000, 0.500)
Mg (0.333, 0.667, 0.750)
Mg (0.667, 0.333, 0.250)
Pd (0.000, 0.000, 0.250)
Pd (0.000, 0.000, 0.750)
Pd (0.333, 0.667, 0.075)
Pd (0.333, 0.667, 0.425)
Pd (0.667, 0.333, 0.575)
Pd (0.667, 0.333, 0.925)

Properties
Density, g/cm3: 8.519
VASP energy, Ha/atom: -0.1576
V, Å³ per atom: 13.4
Spin magnetization, μB per formula unit: 0.00

---

# 5
A relaxed Ba2MgCoTe crystal, computed with PBE.

Lattice parameters (Å, degrees): 5.761 5.761 4.972 90.00 90.00 90.00
Last column: magnetic moment on the atom in μB.
Positions (direct):
Mg (0.000, 0.000, 0.500)  -0.01
Te (0.500, 0.500, 0.500)  0.00
Co (0.000, 0.000, 0.000)  0.45
Ba (0.000, 0.500, 0.000)  -0.02
Ba (0.500, 0.000, 0.000)  -0.02

Properties
Density, g/cm3: 4.886
ΔE_f (raw), eV per atom: -0.37
V, Å³ per atom: 33.0
Spin magnetization, μB per formula unit: 0.30

---

# 6
A relaxed Er2PH crystal, computed with PBE.

Lattice parameters (Å, degrees): 3.972 3.972 7.333 74.29 74.29 60.00
Last column: magnetic moment on the atom in μB.
Positions (direct):
P (0.500, 0.500, 0.500)  -0.01
H (0.000, 0.000, 0.000)  0.00
Er (0.096, 0.096, 0.711)  0.23
Er (0.904, 0.904, 0.289)  0.23

Properties
Density, g/cm3: 6.395
VASP energy, Ha/atom: -0.1907
V, Å³ per atom: 23.8
Spin magnetization, μB per formula unit: 0.92

---

# 7
A relaxed Na2SiF2 crystal, computed with PBE.

Lattice parameters (Å, degrees): 4.217 4.217 7.036 72.56 72.56 90.00
Last column: magnetic moment on the atom in μB.
Positions (direct):
Na (0.750, 0.250, 0.500)  0.00
Na (0.250, 0.750, 0.500)  0.00
Si (0.000, 0.000, 0.000)  0.54
F (0.302, 0.302, 0.395)  0.03
F (0.698, 0.698, 0.605)  0.03

Properties
Density, g/cm3: 1.642
ΔE_f (raw), eV per atom: -1.24
V, Å³ per atom: 22.7
Spin magnetization, μB per formula unit: 2.00

---

# 8
A relaxed TcPbO2F crystal, computed with PBE.

Lattice parameters (Å, degrees): 3.832 3.832 6.394 90.00 90.00 90.00
Positions (direct):
Pb (0.500, 0.500, 0.500)
Tc (0.000, 0.000, 0.000)
O (0.000, 0.500, 0.000)
O (0.500, 0.000, 0.000)
F (0.000, 0.000, 0.500)

Properties
Density, g/cm3: 6.298
ΔE_f (raw), eV per atom: -1.12
V, Å³ per atom: 18.8
Spin magnetization, μB per formula unit: 0.00